Compound: Sr2InTc
Source: the Alexandria database
Functional: GGA-PBE
Structure: optimized geometry

Output
DOS at the Fermi energy ... 18.639 states/eV/cell
Energy ... -57.59 eV for the cell shown
DFT formation energy ... 2.07 eV/f.u.
Size of the total moment ... 1.6 Bohr magnetons per cell

Cell and atoms, written as CIF:
```
data_Sr2InTc
_chemical_formula_sum 'Sr8 In4 Tc4'
_cell_length_a 10.928
_cell_length_b 10.928
_cell_length_c 5.314
_cell_angle_alpha 90.00
_cell_angle_beta 90.00
_cell_angle_gamma 90.00
_symmetry_space_group_name_H-M 'I -4 2 d'
_symmetry_Int_Tables_number 122
_symmetry_space_group_name_Hall 'I -4 2bw'
loop_
_atom_site_label
_atom_site_type_symbol
_atom_site_fract_x
_atom_site_fract_y
_atom_site_fract_z
Sr1 Sr 0.079 0.250 0.125
In1 In 0.000 0.000 0.500
Tc1 Tc 0.000 0.000 0.000
```